A plane-wave DFT calculation with GGA-PBE was carried out for Ir3PdPt after structural relaxation.

Lattice parameters (Å, degrees): 4.7719 4.7719 4.7719 90.00 90.00 90.00
Fractional positions:
Pt 0.0000 0.0000 0.0000
Ir 0.0000 0.5000 0.0000
Ir 0.5000 0.0000 0.0000
Ir 0.0000 0.0000 0.5000
Pd 0.5000 0.5000 0.5000

Energy above the most stable polymorph in this dataset in eV/f.u.: 0.000
SG: No. 221
Energy relative to the elements in eV/atom: 2.110



A plane-wave DFT calculation with GGA-PBE was carried out for HgTeS after structural relaxation.

Lattice parameters (Å, degrees): 8.0350 8.0350 6.8033 53.81 53.81 60.00
Fractional positions:
S 0.3606 0.4553 0.2740
S 0.4553 0.9101 0.2740
S 0.9101 0.3606 0.2740
Te 0.4428 0.1421 0.6471
Te 0.1421 0.7681 0.6471
Te 0.7681 0.4428 0.6471
Hg 0.6650 0.6650 0.0050
Hg 0.3424 0.3424 0.9729
Hg 0.0625 0.0625 0.8126

SG: No. 146
Formation energy (no corrections) in eV per formula unit: 0.336



no.,V (Å³/cell),total magnetic moment (μB/cell)
1,108.66,2.79
2,278.24,0.00